No. 1
Here is a relaxed CdGa2SeCl crystal from Alexandria. Energies are from GGA-PBE.

Unit cell a=5.8639 b=5.2256 c=5.8639 alpha=90.00 beta=90.00 gamma=90.00
Fractional coordinates of all 5 atoms:
Cl 0.5000 0.5000 0.5000
Ga 0.0000 0.0000 0.5000
Ga 0.5000 0.0000 0.0000
Se 0.0000 0.0000 0.0000
Cd 0.0000 0.5000 0.0000

Output
* crystal system: tetragonal
* magnetization: 0.0 μB/f.u.
* formation energy without anion corrections: 0.002 eV/atom

No. 2
Here is a relaxed AlZn2Pd5Au2 crystal from Alexandria. Energies are from GGA-PBE.

Unit cell a=3.6712 b=9.3305 c=9.3305 alpha=90.00 beta=90.00 gamma=90.00
Fractional coordinates of all 20 atoms:
Al 0.0000 0.0000 0.0000
Al 0.0000 0.5000 0.5000
Zn 0.0000 0.1295 0.6295
Zn 0.0000 0.8705 0.3705
Zn 0.0000 0.6295 0.8705
Zn 0.0000 0.3705 0.1295
Pd 0.5000 0.1893 0.0792
Pd 0.5000 0.8107 0.9208
Pd 0.5000 0.0792 0.8107
Pd 0.5000 0.6893 0.4208
Pd 0.5000 0.9208 0.1893
Pd 0.5000 0.3107 0.5792
Pd 0.5000 0.5792 0.6893
Pd 0.5000 0.4208 0.3107
Pd 0.5000 0.5000 0.0000
Pd 0.5000 0.0000 0.5000
Au 0.0000 0.6685 0.1685
Au 0.0000 0.3315 0.8315
Au 0.0000 0.1685 0.3315
Au 0.0000 0.8315 0.6685

Output
* crystal system: tetragonal
* magnetization: 0.0 μB/f.u.
* formation energy from the elements: -359 kJ/mol of formula units

No. 3
Here is a relaxed Al2BiCl crystal from Alexandria. Energies are from GGA-PBE.

Unit cell a=5.0785 b=5.0785 c=5.0785 alpha=60.00 beta=60.00 gamma=60.00
Fractional coordinates of all 4 atoms:
Al 0.2500 0.2500 0.2500
Al 0.7500 0.7500 0.7500
Bi 0.5000 0.5000 0.5000
Cl 0.0000 0.0000 0.0000

Output
* crystal system: cubic
* magnetization: 0.0 μB/f.u.
* E above lowest polymorph: 0 meV per atom
* formation energy without anion corrections: 0.007 eV/atom

no.,E (eV per atom)
1,-2.458
2,-4.253
3,-3.296